(1)
Zn2CdTe, relaxed, DFT PBE; energy relative to the lowest polymorph listed for this composition = 160 meV/atom; formation energy from raw total energies = 67 kJ/mol of formula units; symmetry = No. 65
1.0
-2.419 2.255 0.100
-1.323 -2.794 -1.178
-1.942 -2.435 7.956
Cd Te Zn
1 1 2
Direct
0.500 0.500 0.250 Cd
0.500 0.500 0.750 Te
0.000 0.000 0.010 Zn
0.000 0.000 0.490 Zn

***

(2)
TaInRu2, relaxed, DFT PBE; calculated formation energy = 142 meV/atom; symmetry = No. 99
1.0
-0.496 2.927 -1.816
-3.440 -0.510 0.117
-0.273 2.959 4.843
In Ru Ta
1 2 1
Direct
0.500 0.500 0.777 In
0.000 0.000 0.990 Ru
0.500 0.500 0.285 Ru
0.000 0.000 0.448 Ta

***

| no. | DOS(E_F) (states/eV/atom) |
| --- | --- |
| 1 | 0.27 |
| 2 | 0.95 |